## Nb3CoPd (GGA-PBE)

Data for a relaxed Nb3CoPd crystal.

POSCAR file:
```
Nb3CoPd
1.0
4.7960 0.0000 0.0000
0.0000 4.7960 0.0000
0.0000 0.0000 4.7960
Nb Co Pd
3 1 1
Direct
0.5000 0.0000 0.0000
0.0000 0.5000 0.0000
0.0000 0.0000 0.5000
0.5000 0.5000 0.5000
0.0000 0.0000 0.0000
```

## Properties
The density of states at the Fermi level is 9.859 states/eV/f.u. The formation enthalpy at 0 K is 815 kJ/mol of formula units. As for the energy above the most stable polymorph in this dataset: 1067 meV per atom. The density is 6.68 g cm⁻³.